Record 1
Computed, not measured: a relaxed CsBi2Pt2 crystal at the PBE level of DFT. Values from VASP.

Geometry as Quantum ESPRESSO input:
```
&SYSTEM
  ibrav = 0, nat = 10, ntyp = 3
/
ATOMIC_SPECIES
Pt 195.08 Pt.upf
Bi 208.98 Bi.upf
Cs 132.91 Cs.upf
ATOMIC_POSITIONS angstrom
Pt 7.9068 3.4127 0.0000
Pt 1.0813 5.5753 0.0000
Pt 5.5753 7.9068 0.0000
Pt 3.4127 1.0813 0.0000
Bi 3.2098 7.7038 1.6940
Bi 7.7038 5.7783 1.6940
Bi 5.7783 1.2843 1.6940
Bi 1.2843 3.2098 1.6940
Cs 4.4940 4.4940 0.0000
Cs 0.0000 0.0000 0.0000
CELL_PARAMETERS angstrom
8.9881 0.0000 0.0000
0.0000 8.9881 0.0000
0.0000 0.0000 3.3879
```

Computed properties:
SG = P4/mbm (127)
ΔH_f (0 K) = -0.0404 eV per atom



Record 2
Computed, not measured: a relaxed La2Nd8Tl3 crystal at the PBE level of DFT. Values from VASP.

Geometry as Quantum ESPRESSO input:
```
&SYSTEM
  ibrav = 0, nat = 13, ntyp = 3
/
ATOMIC_SPECIES
Tl 204.38 Tl.upf
Nd 144.24 Nd.upf
La 138.91 La.upf
ATOMIC_POSITIONS angstrom
Tl 0.0000 7.2837 0.0000
Tl 3.4853 0.0000 0.4035
Tl 0.0000 1.5425 0.0000
Nd -0.8486 0.0000 5.8647
Nd 2.5600 -1.6216 5.9892
Nd 5.9179 4.4131 2.0652
Nd 4.8336 0.0000 3.2420
Nd 2.5600 1.6216 5.9892
Nd 0.2358 4.4131 4.6879
Nd 2.5093 6.0347 1.9407
Nd 2.5093 2.7915 1.9407
La 3.9115 4.4131 4.9781
La 1.1578 0.0000 2.9518
CELL_PARAMETERS angstrom
6.9706 0.0000 0.8069
0.0000 8.8263 0.0000
-1.9013 -4.4131 7.1230
```

Computed properties:
SG = C2/m (12)
ΔH_f (0 K) = 0.0436 eV per atom



Record 3
Computed, not measured: a relaxed TbGdCuRh crystal at the PBE level of DFT. Values from VASP.

Geometry as Quantum ESPRESSO input:
```
&SYSTEM
  ibrav = 0, nat = 4, ntyp = 4
/
ATOMIC_SPECIES
Tb 158.93 Tb.upf
Rh 102.91 Rh.upf
Cu 63.55 Cu.upf
Gd 157.25 Gd.upf
ATOMIC_POSITIONS angstrom
Tb 0.0000 0.0000 0.0000
Rh -6.0014 -5.9572 3.1794
Cu -2.0005 -1.9857 1.0598
Gd -4.0009 -3.9715 2.1196
CELL_PARAMETERS angstrom
-1.9260 -4.4815 -0.6236
-1.3159 -2.6765 3.9098
-4.7600 -0.7849 0.9530
```

Computed properties:
SG = F-43m (216)
ΔH_f (0 K) = -0.5264 eV per atom



Record 4
Computed, not measured: a relaxed RbPbS crystal at the PBE level of DFT. Values from VASP.

Geometry as Quantum ESPRESSO input:
```
&SYSTEM
  ibrav = 0, nat = 6, ntyp = 3
/
ATOMIC_SPECIES
S 32.06 S.upf
Pb 207.20 Pb.upf
Rb 85.47 Rb.upf
ATOMIC_POSITIONS angstrom
S 3.2822 0.0000 5.6095
S 0.0000 2.9064 2.0614
Pb 1.7404 2.9064 0.0000
Pb 4.8240 2.9064 0.0000
Rb 0.0000 2.9064 5.2693
Rb 3.2822 0.0000 2.4016
CELL_PARAMETERS angstrom
6.5645 0.0000 0.0000
0.0000 5.8128 0.0000
-3.2822 -2.9064 7.6709
```

Computed properties:
SG = Immm (71)
Formation energy from raw total energies = -39.7 kJ/mol of atoms



Record 5
Computed, not measured: a relaxed MgB4Ir6 crystal at the PBE level of DFT. Values from VASP.

Geometry as Quantum ESPRESSO input:
```
&SYSTEM
  ibrav = 0, nat = 11, ntyp = 3
/
ATOMIC_SPECIES
Ir 192.22 Ir.upf
B 10.81 B.upf
Mg 24.30 Mg.upf
ATOMIC_POSITIONS angstrom
Ir -4.5528 -6.7581 -1.2927
Ir -2.1744 -7.5732 -2.4467
Ir -1.0439 -3.0126 -0.0227
Ir -4.4451 -4.2203 -2.4447
Ir -2.3122 -5.1626 -1.1180
Ir -1.7622 -5.1387 -3.7431
B -3.1316 -3.0651 -0.9844
B -2.5378 -7.0423 -0.2534
B -4.1093 -8.4722 -2.4854
B -0.7597 -3.8786 -2.1334
Mg -0.1277 -0.3470 -0.0189
CELL_PARAMETERS angstrom
-5.3328 -1.9752 -0.4782
1.2086 -4.2195 -3.6481
-1.0684 -5.1501 1.4381
```

Computed properties:
SG = Cm (8)
ΔH_f (0 K) = -0.1310 eV per atom



Record 6
Computed, not measured: a relaxed Li2InPb crystal at the PBE level of DFT. Values from VASP.

Geometry as Quantum ESPRESSO input:
```
&SYSTEM
  ibrav = 0, nat = 8, ntyp = 3
/
ATOMIC_SPECIES
In 114.82 In.upf
Li 6.94 Li.upf
Pb 207.20 Pb.upf
ATOMIC_POSITIONS angstrom
In -4.3344 -3.2641 0.8966
In -6.4633 -5.7830 -1.6985
Li -5.2533 -6.7870 0.6606
Li -4.7351 -3.5443 -1.8959
Li -3.0820 -4.2362 3.2469
Li -9.5294 -10.0264 1.5993
Pb 0.0000 0.0000 0.0000
Pb -4.8366 -6.5140 3.5039
CELL_PARAMETERS angstrom
-2.7077 -3.9950 6.0990
-5.9611 -2.5332 -4.3058
-2.6312 -5.7688 0.0122
```

Computed properties:
SG = I-42d (122)
ΔH_f (0 K) = -0.0494 eV per atom